Entry 1:
{
  "formula": "CePrSe2O",
  "functional": "PBE",
  "state": "relaxed",
  "m_tot_mub_per_atom": 0.144,
  "cell": [[4.098, 0.000, 0.000], [0.000, 4.098, 0.000], [0.000, 0.000, 14.806]],
  "species": ["Ce", "Ce", "Pr", "Pr", "Se", "Se", "Se", "Se", "O", "O"],
  "frac_coords": [[0.250, 0.250, 0.080], [0.750, 0.750, 0.920], [0.250, 0.250, 0.626], [0.750, 0.750, 0.374], [0.250, 0.250, 0.409], [0.250, 0.250, 0.818], [0.750, 0.750, 0.182], [0.750, 0.750, 0.591], [0.250, 0.750, 0.000], [0.750, 0.250, 0.000]]
}



Entry 2:
{
  "formula": "Ce4Pr2Sn3O2",
  "functional": "PBE",
  "state": "relaxed",
  "m_tot_mub_per_atom": 0.331,
  "cell": [[-2.377, 2.377, 13.099], [2.377, -2.377, 13.099], [2.377, 2.377, -13.099]],
  "species": ["Ce", "Ce", "Ce", "Ce", "Pr", "Pr", "Sn", "Sn", "Sn", "O", "O"],
  "frac_coords": [[0.084, 0.584, 0.500], [0.416, 0.916, 0.500], [0.584, 0.084, 0.500], [0.916, 0.416, 0.500], [0.197, 0.197, 0.000], [0.803, 0.803, 0.000], [0.324, 0.324, 0.000], [0.500, 0.500, 0.000], [0.676, 0.676, 0.000], [0.098, 0.098, 0.000], [0.902, 0.902, 0.000]]
}



Entry 3:
{
  "formula": "Ce2PrSnO",
  "functional": "PBE",
  "state": "relaxed",
  "m_tot_mub_per_atom": 0.408,
  "cell": [[4.858, 0.000, 0.000], [0.000, 4.858, 0.000], [0.000, 0.000, 5.093]],
  "species": ["Ce", "Ce", "Pr", "Sn", "O"],
  "frac_coords": [[0.000, 0.500, 0.000], [0.500, 0.000, 0.000], [0.000, 0.000, 0.500], [0.500, 0.500, 0.500], [0.000, 0.000, 0.000]]
}



Number 1: ΔE_f (raw) -2.395 eV/atom. Number 2: ΔE_f (raw) -1.416 eV/atom. Number 3: ΔE_f (raw) -1.450 eV/atom.